P:
InSn2Sb2: relaxed, PBE.

Values from the calculation:
Magnetization   0.0 μB per formula unit
Density   6.307 g/cm³
Calculated volume   156.9 Å³ per cell

Unit cell a=8.1588 b=8.1588 c=8.1588 alpha=147.42 beta=147.42 gamma=46.74
Element x y z (fractional)
1 In 0.0000 0.0000 0.0000
2 Sn 0.2500 0.7500 0.5000
3 Sn 0.7500 0.2500 0.5000
4 Sb 0.3992 0.3992 0.0000
5 Sb 0.6008 0.6008 0.0000



Q:
InSn2Sb2: relaxed, PBE.

Values from the calculation:
Magnetization   0.0 μB per formula unit
Density   6.776 g/cm³
Calculated volume   292.0 Å³ per cell

Unit cell a=8.5770 b=8.5770 c=3.9692 alpha=90.00 beta=90.00 gamma=90.00
Element x y z (fractional)
1 In 0.0000 0.0000 0.0000
2 In 0.5000 0.5000 0.0000
3 Sn 0.1453 0.3547 0.5000
4 Sn 0.3547 0.8547 0.5000
5 Sn 0.6453 0.1453 0.5000
6 Sn 0.8547 0.6453 0.5000
7 Sb 0.1500 0.6500 0.0000
8 Sb 0.3500 0.1500 0.0000
9 Sb 0.6500 0.8500 0.0000
10 Sb 0.8500 0.3500 0.0000



Least stable: P



P:
Sr2InSb: relaxed, PBE.

Values from the calculation:
Magnetization   0.0 μB per formula unit
Density   5.091 g/cm³
Calculated volume   134.3 Å³ per cell

Unit cell a=4.0559 b=4.3448 c=7.6231 alpha=90.00 beta=90.00 gamma=90.00
Element x y z (fractional)
1 Sr 0.0000 0.0000 0.2366
2 Sr 0.0000 0.0000 0.7634
3 In 0.5000 0.5000 0.5000
4 Sb 0.5000 0.5000 0.0000



Q:
Sr2InSb: relaxed, PBE.

Values from the calculation:
Magnetization   0.0 μB per formula unit
Density   4.999 g/cm³
Calculated volume   136.8 Å³ per cell

Unit cell a=6.8242 b=6.8242 c=6.8242 alpha=138.75 beta=138.75 gamma=59.76
Element x y z (fractional)
1 Sr 0.0000 0.0000 0.0000
2 Sr 0.7500 0.2500 0.5000
3 In 0.2500 0.7500 0.5000
4 Sb 0.5000 0.5000 0.0000



R:
Sr2InSb: relaxed, PBE.

Values from the calculation:
Magnetization   0.0 μB per formula unit
Density   4.475 g/cm³
Calculated volume   305.7 Å³ per cell

Unit cell a=7.3947 b=7.3947 c=7.3947 alpha=105.24 beta=105.24 gamma=118.30
Element x y z (fractional)
1 Sr 0.1085 0.6250 0.9835
2 Sr 0.3750 0.3585 0.4835
3 Sr 0.6415 0.1250 0.0165
4 Sr 0.8750 0.8915 0.5165
5 In 0.2500 0.7500 0.5000
6 In 0.5000 0.5000 0.0000
7 Sb 0.0000 0.0000 0.0000
8 Sb 0.7500 0.2500 0.5000



S:
Sr2InSb: relaxed, PBE.

Values from the calculation:
Magnetization   0.0 μB per formula unit
Density   5.219 g/cm³
Calculated volume   131.0 Å³ per cell

Unit cell a=6.0710 b=6.0710 c=6.0710 alpha=129.17 beta=129.17 gamma=74.74
Element x y z (fractional)
1 Sr 0.2500 0.7500 0.5000
2 Sr 0.7500 0.2500 0.5000
3 In 0.0000 0.0000 0.0000
4 Sb 0.5000 0.5000 0.0000



Least stable: R



P:
Sr2InSb: relaxed, PBE.

Values from the calculation:
Magnetization   0.0 μB per formula unit
Density   4.970 g/cm³
Calculated volume   137.6 Å³ per cell

Unit cell a=5.7949 b=5.7949 c=5.7949 alpha=60.00 beta=60.00 gamma=60.00
Element x y z (fractional)
1 Sr 0.0000 0.0000 0.0000
2 Sr 0.2500 0.2500 0.2500
3 In 0.5000 0.5000 0.5000
4 Sb 0.7500 0.7500 0.7500



Q:
Sr2InSb: relaxed, PBE.

Values from the calculation:
Magnetization   0.0 μB per formula unit
Density   4.516 g/cm³
Calculated volume   151.4 Å³ per cell

Unit cell a=4.7221 b=4.7221 c=6.7909 alpha=90.00 beta=90.00 gamma=90.00
Element x y z (fractional)
1 Sr 0.0000 0.0000 0.0000
2 Sr 0.5000 0.5000 0.3934
3 In 0.0000 0.0000 0.5193
4 Sb 0.5000 0.5000 0.8818



Least stable: P



P:
Sr2InSb: relaxed, PBE.

Values from the calculation:
Magnetization   0.0 μB per formula unit
Density   5.144 g/cm³
Calculated volume   132.9 Å³ per cell

Unit cell a=5.4367 b=5.4367 c=4.4974 alpha=90.00 beta=90.00 gamma=90.00
Element x y z (fractional)
1 Sr 0.0000 0.5000 0.0000
2 Sr 0.5000 0.0000 0.0000
3 In 0.0000 0.0000 0.5000
4 Sb 0.5000 0.5000 0.5000



Q:
Sr2InSb: relaxed, PBE.

Values from the calculation:
Magnetization   0.0 μB per formula unit
Density   5.080 g/cm³
Calculated volume   134.6 Å³ per cell

Unit cell a=5.7528 b=5.7528 c=5.7528 alpha=60.00 beta=60.00 gamma=60.00
Element x y z (fractional)
1 Sr 0.2500 0.2500 0.2500
2 Sr 0.7500 0.7500 0.7500
3 In 0.0000 0.0000 0.0000
4 Sb 0.5000 0.5000 0.5000



Least stable: Q



P:
SrInSb3: relaxed, PBE.

Values from the calculation:
Magnetization   0.0 μB per formula unit
Density   4.294 g/cm³
Calculated volume   219.6 Å³ per cell

Unit cell a=6.0328 b=6.0328 c=6.0328 alpha=90.00 beta=90.00 gamma=90.00
Element x y z (fractional)
1 Sr 0.0000 0.0000 0.0000
2 In 0.5000 0.5000 0.5000
3 Sb 0.0000 0.0000 0.5000
4 Sb 0.0000 0.5000 0.0000
5 Sb 0.5000 0.0000 0.0000



Q:
SrInSb3: relaxed, PBE.

Values from the calculation:
Magnetization   0.0 μB per formula unit
Density   5.195 g/cm³
Calculated volume   181.5 Å³ per cell

Unit cell a=5.6614 b=5.6614 c=5.6614 alpha=90.00 beta=90.00 gamma=90.00
Element x y z (fractional)
1 Sr 0.0000 0.0000 0.0000
2 In 0.5000 0.5000 0.5000
3 Sb 0.0000 0.5000 0.5000
4 Sb 0.5000 0.0000 0.5000
5 Sb 0.5000 0.5000 0.0000



Least stable: P



P:
Sr3InSb: relaxed, PBE.

Values from the calculation:
Magnetization   0.0 μB per formula unit
Density   4.255 g/cm³
Calculated volume   389.8 Å³ per cell

Unit cell a=9.0149 b=9.0149 c=9.7697 alpha=94.62 beta=94.62 gamma=29.52
Element x y z (fractional)
1 Sr 0.0487 0.0487 0.1671
2 Sr 0.2387 0.2387 0.8260
3 Sr 0.3974 0.3974 0.4122
4 Sr 0.6026 0.6026 0.5878
5 Sr 0.7613 0.7613 0.1740
6 Sr 0.9513 0.9513 0.8329
7 In 0.2027 0.2027 0.4210
8 In 0.7973 0.7973 0.5790
9 Sb 0.3919 0.3919 0.0716
10 Sb 0.6081 0.6081 0.9284



Q:
Sr3InSb: relaxed, PBE.

Values from the calculation:
Magnetization   0.0 μB per formula unit
Density   3.387 g/cm³
Calculated volume   244.9 Å³ per cell

Unit cell a=6.2561 b=6.2561 c=6.2561 alpha=90.00 beta=90.00 gamma=90.00
Element x y z (fractional)
1 Sr 0.0000 0.0000 0.5000
2 Sr 0.0000 0.5000 0.0000
3 Sr 0.5000 0.0000 0.0000
4 In 0.5000 0.5000 0.5000
5 Sb 0.0000 0.0000 0.0000



Least stable: Q



P:
Sr2InSbW: relaxed, PBE.

Values from the calculation:
Magnetization   4.9 μB per formula unit
Density   4.619 g/cm³
Calculated volume   214.1 Å³ per cell

Unit cell a=6.1826 b=6.1826 c=5.6017 alpha=90.00 beta=90.00 gamma=90.00
Element x y z (fractional)
1 Sr 0.0000 0.5000 0.0000
2 Sr 0.5000 0.0000 0.0000
3 In 0.0000 0.0000 0.5000
4 Sb 0.0000 0.0000 0.0000
5 W 0.5000 0.5000 0.5000



Q:
Sr2InSbW: relaxed, PBE.

Values from the calculation:
Magnetization   2.5 μB per formula unit
Density   5.236 g/cm³
Calculated volume   188.9 Å³ per cell

Unit cell a=6.0398 b=6.0398 c=5.1788 alpha=90.00 beta=90.00 gamma=90.00
Element x y z (fractional)
1 Sr 0.0000 0.5000 0.0000
2 Sr 0.5000 0.0000 0.0000
3 In 0.0000 0.0000 0.0000
4 Sb 0.5000 0.5000 0.5000
5 W 0.0000 0.0000 0.5000



Least stable: P



P:
Ta2InSb: relaxed, PBE.

Values from the calculation:
Magnetization   0.0 μB per formula unit
Density   12.304 g/cm³
Calculated volume   80.8 Å³ per cell

Unit cell a=9.8172 b=9.8172 c=9.8172 alpha=18.22 beta=18.22 gamma=18.22
Element x y z (fractional)
1 Ta 0.2483 0.2483 0.2483
2 Ta 0.7517 0.7517 0.7517
3 In 0.0000 0.0000 0.0000
4 Sb 0.5000 0.5000 0.5000



Q:
Ta2InSb: relaxed, PBE.

Values from the calculation:
Magnetization   0.0 μB per formula unit
Density   10.839 g/cm³
Calculated volume   91.7 Å³ per cell

Unit cell a=2.9810 b=2.9810 c=10.6881 alpha=90.00 beta=90.00 gamma=105.13
Element x y z (fractional)
1 Ta 0.0000 0.0000 0.0000
2 Ta 0.5000 0.5000 0.2036
3 In 0.0000 0.0000 0.4358
4 Sb 0.5000 0.5000 0.7876



R:
Ta2InSb: relaxed, PBE.

Values from the calculation:
Magnetization   0.0 μB per formula unit
Density   12.325 g/cm³
Calculated volume   80.6 Å³ per cell

Unit cell a=5.4830 b=5.4830 c=3.0676 alpha=100.49 beta=100.49 gamma=112.31
Element x y z (fractional)
1 Ta 0.0000 0.5000 0.0000
2 Ta 0.5000 0.0000 0.0000
3 In 0.0000 0.0000 0.5000
4 Sb 0.5000 0.5000 0.5000



S:
Ta2InSb: relaxed, PBE.

Values from the calculation:
Magnetization   0.0 μB per formula unit
Density   12.510 g/cm³
Calculated volume   79.4 Å³ per cell

Unit cell a=5.0300 b=5.0300 c=3.1397 alpha=90.00 beta=90.00 gamma=90.00
Element x y z (fractional)
1 Ta 0.0000 0.5000 0.0000
2 Ta 0.5000 0.0000 0.0000
3 In 0.0000 0.0000 0.5000
4 Sb 0.5000 0.5000 0.5000



Least stable: S



P:
TaInSb3: relaxed, PBE.

Values from the calculation:
Magnetization   0.0 μB per formula unit
Density   6.956 g/cm³
Calculated volume   157.8 Å³ per cell

Unit cell a=5.4038 b=5.4038 c=5.4038 alpha=90.00 beta=90.00 gamma=90.00
Element x y z (fractional)
1 Ta 0.0000 0.0000 0.0000
2 In 0.5000 0.5000 0.5000
3 Sb 0.0000 0.5000 0.5000
4 Sb 0.5000 0.0000 0.5000
5 Sb 0.5000 0.5000 0.0000



Q:
TaInSb3: relaxed, PBE.

Values from the calculation:
Magnetization   0.0 μB per formula unit
Density   6.935 g/cm³
Calculated volume   158.3 Å³ per cell

Unit cell a=5.4093 b=5.4093 c=5.4093 alpha=90.00 beta=90.00 gamma=90.00
Element x y z (fractional)
1 Ta 0.0000 0.0000 0.0000
2 In 0.5000 0.5000 0.5000
3 Sb 0.0000 0.0000 0.5000
4 Sb 0.0000 0.5000 0.0000
5 Sb 0.5000 0.0000 0.0000



Least stable: P



P:
TaInSbTe2: relaxed, PBE.

Values from the calculation:
Magnetization   0.0 μB per formula unit
Density   6.864 g/cm³
Calculated volume   162.8 Å³ per cell

Unit cell a=5.4575 b=5.4575 c=5.4644 alpha=90.00 beta=90.00 gamma=90.00
Element x y z (fractional)
1 Ta 0.0000 0.0000 0.0000
2 In 0.5000 0.5000 0.5000
3 Sb 0.0000 0.0000 0.5000
4 Te 0.0000 0.5000 0.0000
5 Te 0.5000 0.0000 0.0000



Q:
TaInSbTe2: relaxed, PBE.

Values from the calculation:
Magnetization   2.2 μB per formula unit
Density   6.704 g/cm³
Calculated volume   166.6 Å³ per cell

Unit cell a=5.5414 b=5.5414 c=5.4261 alpha=90.00 beta=90.00 gamma=90.00
Element x y z (fractional)
1 Ta 0.0000 0.0000 0.0000
2 In 0.5000 0.5000 0.5000
3 Sb 0.5000 0.5000 0.0000
4 Te 0.0000 0.5000 0.5000
5 Te 0.5000 0.0000 0.5000



Least stable: Q



P:
Tb5In2Sb: relaxed, PBE.

Values from the calculation:
Magnetization   0.0 μB per formula unit
Density   8.296 g/cm³
Calculated volume   458.8 Å³ per cell

Unit cell a=8.7771 b=8.7771 c=8.7771 alpha=122.49 beta=122.49 gamma=85.75
Element x y z (fractional)
1 Tb 0.0000 0.0000 0.0000
2 Tb 0.0047 0.5047 0.8115
3 Tb 0.1932 0.0047 0.5000
4 Tb 0.3068 0.8068 0.8115
5 Tb 0.4953 0.3068 0.5000
6 Tb 0.5000 0.5000 0.0000
7 Tb 0.5047 0.6932 0.5000
8 Tb 0.6932 0.1932 0.1885
9 Tb 0.8068 0.9953 0.5000
10 Tb 0.9953 0.4953 0.1885
11 In 0.1431 0.3569 0.5000
12 In 0.3569 0.8569 0.2138
13 In 0.6431 0.1431 0.7862
14 In 0.8569 0.6431 0.5000
15 Sb 0.2500 0.2500 0.0000
16 Sb 0.7500 0.7500 0.0000



Q:
Tb5In2Sb: relaxed, PBE.

Values from the calculation:
Magnetization   0.0 μB per formula unit
Density   8.546 g/cm³
Calculated volume   222.7 Å³ per cell

Unit cell a=6.6159 b=6.6159 c=6.6159 alpha=110.53 beta=110.53 gamma=107.38
Element x y z (fractional)
1 Tb 0.0000 0.0000 0.0000
2 Tb 0.0602 0.0602 0.5283
3 Tb 0.0602 0.5320 0.0000
4 Tb 0.5320 0.0602 0.0000
5 Tb 0.5320 0.5320 0.4717
6 In 0.0386 0.5386 0.5000
7 In 0.5386 0.0386 0.5000
8 Sb 0.5889 0.5889 0.0000



Least stable: Q